# 1
PBE Mn2ZnRe, optimized geometry; size of the total moment = 3.226 μB per cell; E_tot = -7.8369 eV per atom; energy of formation from the pure elements = 0.1784 eV per atom
1.0
-1.802 1.802 3.977
1.802 -1.802 3.977
1.802 1.802 -3.977
Mn Zn Re
2 1 1
Cartesian
0.000 0.000 0.000
0.000 1.802 1.989
0.000 0.000 3.977
1.802 0.000 1.989

---

# 2
PBE Mn2ZnRe, optimized geometry; size of the total moment = 4.955 μB per cell; E_tot = -7.8187 eV per atom; energy of formation from the pure elements = 0.1966 eV per atom
1.0
0.000 2.993 2.993
2.993 0.000 2.993
2.993 2.993 0.000
Mn Zn Re
2 1 1
Cartesian
0.000 0.000 0.000
1.497 1.497 1.497
2.993 2.993 2.993
4.490 4.490 4.490

---

# 3
PBE Mn2ZnRe, optimized geometry; size of the total moment = 1.391 μB per cell; E_tot = -7.8366 eV per atom; energy of formation from the pure elements = 0.1787 eV per atom
1.0
4.122 0.000 0.000
0.000 4.122 0.000
0.000 0.000 2.975
Mn Zn Re
2 1 1
Cartesian
0.000 2.061 0.000
2.061 0.000 0.000
0.000 0.000 1.487
2.061 2.061 1.487

---

# 4
PBE Mn2ZnRe, optimized geometry; size of the total moment = 0.728 μB per cell; E_tot = -7.8888 eV per atom; energy of formation from the pure elements = 0.1265 eV per atom
1.0
2.610 0.000 0.000
0.000 3.829 0.000
0.000 0.000 5.321
Mn Zn Re
2 1 1
Cartesian
0.000 0.000 0.000
1.305 1.915 1.347
1.305 1.915 4.054
0.000 0.000 2.620